Below is crystalline Ca2AlPd at its relaxed geometry, with properties calculated at the PBE level.

Geometry as POSCAR:
```
Ca2AlPd
1.0
3.6478 0.0000 0.0000
0.0000 3.6478 0.0000
0.0000 0.0000 7.1407
Ca Al Pd
2 1 1
direct
0.0000 0.0000 0.7637 Ca
0.0000 0.0000 0.2363 Ca
0.5000 0.5000 0.5000 Al
0.5000 0.5000 0.0000 Pd
```

Properties
Total energy, eV per cell: -14.61
SG: P4/mmm, No. 123

Below is crystalline Ca3Al2Pd2 at its relaxed geometry, with properties calculated at the PBE level.

Geometry as POSCAR:
```
Ca3Al2Pd2
1.0
5.9290 0.0000 0.0000
0.0000 7.9712 0.0000
0.0000 0.0000 13.9544
Ca Al Pd
12 8 8
direct
0.1410 0.6056 0.0981 Ca
0.8590 0.3944 0.5981 Ca
0.8590 0.1056 0.4019 Ca
0.1410 0.8944 0.9019 Ca
0.8590 0.3944 0.9019 Ca
0.1410 0.6056 0.4019 Ca
0.1410 0.8944 0.5981 Ca
0.8590 0.1056 0.0981 Ca
0.3656 0.2603 0.2500 Ca
0.6344 0.7397 0.7500 Ca
0.6344 0.7603 0.2500 Ca
0.3656 0.2397 0.7500 Ca
0.3841 0.2500 0.0000 Al
0.6159 0.7500 0.5000 Al
0.6159 0.7500 0.0000 Al
0.3841 0.2500 0.5000 Al
0.8467 0.4092 0.2500 Al
0.1533 0.5908 0.7500 Al
0.1533 0.9092 0.2500 Al
0.8467 0.0908 0.7500 Al
0.6339 0.4691 0.0920 Pd
0.3661 0.5309 0.5920 Pd
0.3661 0.9691 0.4080 Pd
0.6339 0.0309 0.9080 Pd
0.3661 0.5309 0.9080 Pd
0.6339 0.4691 0.4080 Pd
0.6339 0.0309 0.5920 Pd
0.3661 0.9691 0.0920 Pd
```

Properties
Total energy, eV per cell: -113.46
SG: Pbcm, No. 57

Below is crystalline CaAlPd2 at its relaxed geometry, with properties calculated at the PBE level.

Geometry as POSCAR:
```
CaAlPd2
1.0
-2.2558 -2.0444 -0.8196
1.4757 0.1662 -4.4762
2.9458 -3.5864 0.8380
Ca Al Pd
1 1 2
direct
0.5000 0.0000 0.0000 Ca
0.5000 0.5000 0.5000 Al
0.0000 0.0000 0.5000 Pd
0.0000 0.5000 0.0000 Pd
```

Properties
Total energy, eV per cell: -18.77
SG: P4/mmm, No. 123

Below is crystalline CaAl9Pd2 at its relaxed geometry, with properties calculated at the PBE level.

Geometry as POSCAR:
```
CaAl9Pd2
1.0
6.6372 0.0000 3.0557
3.3186 7.5743 1.5278
0.1511 0.0000 8.4080
Ca Al Pd
2 18 4
direct
0.5000 0.0000 0.0000 Ca
0.2500 0.5000 0.5000 Ca
0.7500 0.5000 0.5000 Al
0.0000 0.0000 0.0000 Al
0.0103 0.9193 0.6745 Al
0.6041 0.0807 0.3255 Al
0.6796 0.1745 0.5807 Al
0.4347 0.8255 0.4193 Al
0.7397 0.8255 0.5807 Al
0.1459 0.1745 0.4193 Al
0.0704 0.9193 0.3255 Al
0.3153 0.0807 0.6745 Al
0.7397 0.5807 0.8255 Al
0.1459 0.4193 0.1745 Al
0.0704 0.3255 0.9193 Al
0.3153 0.6745 0.0807 Al
0.0103 0.6745 0.9193 Al
0.6041 0.3255 0.0807 Al
0.6796 0.5807 0.1745 Al
0.4347 0.4193 0.8255 Al
0.8750 0.2500 0.7500 Pd
0.8750 0.7500 0.2500 Pd
0.8750 0.2500 0.2500 Pd
0.3750 0.7500 0.7500 Pd
```

Properties
Total energy, eV per cell: -101.66
Relative energy among the computed polymorphs, eV per atom: 0.000
SG: I4_1/amd, No. 141

| no. | magnetization (μB/f.u.) |
| --- | --- |
| 1 | 0.00 |
| 2 | 0.00 |
| 3 | 0.00 |
| 4 | 0.00 |